# NbMoSe

An optimized crystal structure of NbMoSe (GGA-PBE, Alexandria).

## Properties
- total magnetization (Bohr magnetons per cell) = 0.00
- total energy (eV per cell) = -49.7
- calculated volume (A^3/atom) = 17.5
- space group = No. 1

a b c (Å): 3.1916 5.7231 5.9730
angles (deg): 100.63 91.61 101.14
Element x y z (fractional)
Se 0.8821 0.4448 0.0529
Se 0.4863 0.8583 0.8803
Nb 0.2994 0.1857 0.2665
Nb 0.8675 0.5352 0.6152
Mo 0.5012 0.7614 0.3174
Mo 0.0542 0.0873 0.6525



# Tl2HgAu

An optimized crystal structure of Tl2HgAu (GGA-PBE, Alexandria).

## Properties
- total magnetization (Bohr magnetons per cell) = 0.00
- total energy (eV per cell) = -8.3
- calculated volume (A^3/atom) = 29.8
- space group = No. 160

a b c (Å): 4.5699 4.5699 7.1029
angles (deg): 71.23 71.23 60.00
Element x y z (fractional)
Hg 0.4968 0.4968 0.5097
Tl 0.0712 0.0712 0.7865
Tl 0.2656 0.2656 0.2033
Au 0.6665 0.6665 0.0004



# CsNpHgI6

An optimized crystal structure of CsNpHgI6 (GGA-PBE, Alexandria).

## Properties
- total magnetization (Bohr magnetons per cell) = 1.99
- total energy (eV per cell) = -30.3
- calculated volume (A^3/atom) = 59.4
- space group = No. 5

a b c (Å): 9.1892 9.1894 7.3270
angles (deg): 90.00 90.01 59.75
Each line ends with the local moment (μB).
Element x y z (fractional)
Cs 0.6659 0.6659 0.5000  0.00
Hg 0.0003 0.0005 0.0000  -0.05
I 0.5951 0.3279 0.7360  -0.11
I 0.0770 0.3280 0.2640  -0.11
I 0.0750 0.5972 0.7341  -0.11
I 0.3279 0.0770 0.7360  -0.11
I 0.5972 0.0750 0.2659  -0.11
I 0.3279 0.5951 0.2639  -0.11
Np 0.3333 0.3334 0.5000  2.96



# Pr7Sm12Dy

An optimized crystal structure of Pr7Sm12Dy (GGA-PBE, Alexandria).

## Properties
- total magnetization (Bohr magnetons per cell) = 0.00
- total energy (eV per cell) = -82.7
- calculated volume (A^3/atom) = 38.7
- space group = No. 204

a b c (Å): 10.0200 10.0200 10.0200
angles (deg): 109.47 109.47 109.47
Element x y z (fractional)
Pr 0.5000 0.0000 0.0000
Pr 0.0000 0.5000 0.5000
Pr 0.5000 0.5000 0.5000
Pr 0.0000 0.5000 0.0000
Pr 0.5000 0.5000 0.0000
Pr 0.0000 0.0000 0.5000
Pr 0.5000 0.0000 0.5000
Sm 0.7540 0.7533 0.5073
Sm 0.2460 0.7533 0.9993
Sm 0.2467 0.4927 0.2460
Sm 0.7533 0.5073 0.7540
Sm 0.7533 0.9993 0.2460
Sm 0.7540 0.2467 0.0007
Sm 0.9993 0.2460 0.7533
Sm 0.0007 0.7540 0.2467
Sm 0.5073 0.7540 0.7533
Sm 0.2467 0.0007 0.7540
Sm 0.4927 0.2460 0.2467
Sm 0.2460 0.2467 0.4927
Dy 0.0000 0.0000 0.0000



# LaY2Ni

An optimized crystal structure of LaY2Ni (GGA-PBE, Alexandria).

## Properties
- total magnetization (Bohr magnetons per cell) = 0.00
- total energy (eV per cell) = -22.9
- calculated volume (A^3/atom) = 26.8
- space group = No. 139

a b c (Å): 6.3239 6.3239 6.3239
angles (deg): 139.16 139.16 59.13
Element x y z (fractional)
Y 0.5000 0.5000 0.0000
Y 0.0000 0.0000 0.0000
La 0.2500 0.7500 0.5000
Ni 0.7500 0.2500 0.5000



# Sm3PuTh2Se6

An optimized crystal structure of Sm3PuTh2Se6 (GGA-PBE, Alexandria).

## Properties
- total magnetization (Bohr magnetons per cell) = 5.87
- total energy (eV per cell) = -84.4
- calculated volume (A^3/atom) = 25.8
- space group = No. 12

a b c (Å): 4.1649 8.3855 9.3788
angles (deg): 103.97 102.83 90.00
Each line ends with the local moment (μB).
Element x y z (fractional)
Th 0.1680 0.3367 0.3361  0.02
Th 0.8320 0.6633 0.6639  0.02
Sm 0.1676 0.8338 0.3351  0.00
Sm 0.5000 0.5000 0.0000  0.00
Sm 0.8324 0.1662 0.6649  0.00
Se 0.9994 0.2474 0.9989  -0.03
Se 0.0006 0.7526 0.0011  -0.03
Se 0.6657 0.0807 0.3315  -0.01
Se 0.6643 0.5879 0.3286  0.01
Se 0.3357 0.4121 0.6714  0.01
Se 0.3343 0.9193 0.6685  -0.01
Pu 0.5000 0.0000 0.0000  5.48



# Sc2Ni12Ge7

An optimized crystal structure of Sc2Ni12Ge7 (GGA-PBE, Alexandria).

## Properties
- total magnetization (Bohr magnetons per cell) = 0.00
- total energy (eV per cell) = -124.2
- calculated volume (A^3/atom) = 13.4
- space group = No. 174

a b c (Å): 3.6453 9.4391 9.4391
angles (deg): 120.00 90.00 90.00
Element x y z (fractional)
Ge 0.0000 0.7397 0.9449
Ge 0.0000 0.3333 0.6667
Ge 0.0000 0.2053 0.2603
Ge 0.5000 0.9196 0.3709
Ge 0.5000 0.4513 0.0804
Ge 0.0000 0.0551 0.7947
Ge 0.5000 0.6291 0.5487
Ni 0.5000 0.9058 0.6176
Ni 0.0000 0.4563 0.5090
Ni 0.5000 0.2421 0.7892
Ni 0.0000 0.2792 0.0555
Ni 0.0000 0.0527 0.5437
Ni 0.0000 0.4910 0.9473
Ni 0.0000 0.9445 0.2237
Ni 0.5000 0.5472 0.7579
Ni 0.0000 0.7763 0.7208
Ni 0.5000 0.3824 0.2882
Ni 0.5000 0.7118 0.0942
Ni 0.5000 0.2108 0.4528
Sc 0.0000 0.6667 0.3333
Sc 0.5000 0.0000 0.0000



Please write out number 1 again, unchanged.
# NbMoSe

An optimized crystal structure of NbMoSe (GGA-PBE, Alexandria).

## Properties
- total magnetization (Bohr magnetons per cell) = 0.00
- total energy (eV per cell) = -49.7
- calculated volume (A^3/atom) = 17.5
- space group = No. 1

a b c (Å): 3.1916 5.7231 5.9730
angles (deg): 100.63 91.61 101.14
Element x y z (fractional)
Se 0.8821 0.4448 0.0529
Se 0.4863 0.8583 0.8803
Nb 0.2994 0.1857 0.2665
Nb 0.8675 0.5352 0.6152
Mo 0.5012 0.7614 0.3174
Mo 0.0542 0.0873 0.6525



The highest total magnetization belongs to which entry?
Sm3PuTh2Se6